{"formula": "Mg2CoAgH", "functional": "GGA-PBE", "state": "optimized geometry", "lattice_angstrom": [[4.498, 0.000, 0.000], [0.000, 4.498, 0.000], [0.000, 0.000, 3.281]], "species": ["Mg", "Mg", "Ag", "Co", "H"], "frac_coords": [[0.000, 0.500, 0.000], [0.500, 0.000, 0.000], [0.500, 0.500, 0.500], [0.000, 0.000, 0.500], [0.000, 0.000, 0.000]], "spacegroup": "P4/mmm (123)"}

{"formula": "PaCCl", "functional": "GGA-PBE", "state": "optimized geometry", "lattice_angstrom": [[3.959, 0.000, 0.000], [0.000, 3.959, 0.000], [0.000, 0.000, 7.141]], "species": ["Pa", "Pa", "C", "C", "Cl", "Cl"], "frac_coords": [[0.500, 0.000, 0.162], [0.000, 0.500, 0.838], [0.500, 0.500, 0.000], [0.000, 0.000, 0.000], [0.500, 0.000, 0.626], [0.000, 0.500, 0.374]], "relative_energy_mev_per_atom": 0, "e_form_raw_ev_per_atom": -1.0464, "spacegroup": "P4/nmm (129)"}

Number 1: uncorrected energy -3.39 eV/atom, total magnetic moment 0.0 μB per formula unit. Number 2: uncorrected energy -7.90 eV/atom, total magnetic moment 0.0 μB per formula unit.